Entry from Alexandria via LeMat-Bulk: a relaxed NdMgIn crystal (PBE).

POSCAR file:
```
NdMgIn
1.0
5.0775 0.0000 0.0000
2.5387 4.3972 0.0000
2.5387 1.4657 4.1457
Mg In Nd
1 1 1
Direct
0.5000 0.5000 0.5000
0.2500 0.2500 0.2500
0.0000 0.0000 0.0000
```

calculated total energy	-3.2739	eV per atom
ΔH_f (0 K)	-0.240	eV per atom
total moment	0.0	μB per formula unit
calculated volume	30.854	Å³ per atom


Entry from Alexandria via LeMat-Bulk: a relaxed NdMg3In3 crystal (PBE).

POSCAR file:
```
NdMg3In3
1.0
-5.7093 1.3719 5.0280
1.6511 -6.5976 3.6750
4.9434 3.7880 4.5796
In Nd Mg
6 2 6
Direct
0.2500 0.0000 0.5000
0.7500 0.0000 0.5000
0.0000 0.5000 0.7500
0.0000 0.5000 0.2500
0.5000 0.2500 0.0000
0.5000 0.7500 0.0000
0.0000 0.0000 0.0000
0.5000 0.5000 0.5000
0.2500 0.5000 0.0000
0.7500 0.5000 0.0000
0.0000 0.7500 0.5000
0.5000 0.0000 0.2500
0.0000 0.2500 0.5000
0.5000 0.0000 0.7500
```

calculated total energy	-2.1269	eV per atom
ΔH_f (0 K)	0.411	eV per atom
total moment	0.0	μB per formula unit
calculated volume	32.997	Å³ per atom


What did the first record say?
Entry from Alexandria via LeMat-Bulk: a relaxed NdMgIn crystal (PBE).

POSCAR file:
```
NdMgIn
1.0
5.0775 0.0000 0.0000
2.5387 4.3972 0.0000
2.5387 1.4657 4.1457
Mg In Nd
1 1 1
Direct
0.5000 0.5000 0.5000
0.2500 0.2500 0.2500
0.0000 0.0000 0.0000
```

calculated total energy	-3.2739	eV per atom
ΔH_f (0 K)	-0.240	eV per atom
total moment	0.0	μB per formula unit
calculated volume	30.854	Å³ per atom


Among the records above, which one has the lowest calculated total energy? NdMgIn


Number 2 is which compound? NdMg3In3


What did the second record say?
Entry from Alexandria via LeMat-Bulk: a relaxed NdMg3In3 crystal (PBE).

POSCAR file:
```
NdMg3In3
1.0
-5.7093 1.3719 5.0280
1.6511 -6.5976 3.6750
4.9434 3.7880 4.5796
In Nd Mg
6 2 6
Direct
0.2500 0.0000 0.5000
0.7500 0.0000 0.5000
0.0000 0.5000 0.7500
0.0000 0.5000 0.2500
0.5000 0.2500 0.0000
0.5000 0.7500 0.0000
0.0000 0.0000 0.0000
0.5000 0.5000 0.5000
0.2500 0.5000 0.0000
0.7500 0.5000 0.0000
0.0000 0.7500 0.5000
0.5000 0.0000 0.2500
0.0000 0.2500 0.5000
0.5000 0.0000 0.7500
```

calculated total energy	-2.1269	eV per atom
ΔH_f (0 K)	0.411	eV per atom
total moment	0.0	μB per formula unit
calculated volume	32.997	Å³ per atom